Here is a relaxed ScTc crystal from Alexandria. Energies are from PBE-GGA.

POSCAR file:
```
ScTc
1.0
4.2851 0.0000 0.0000
-2.1425 4.8422 0.0000
0.0000 0.0000 3.9249
Sc Tc
2 2
Direct
0.1414 0.2829 0.2500 Sc
0.8586 0.7171 0.7500 Sc
0.4336 0.8672 0.2500 Tc
0.5664 0.1328 0.7500 Tc
```

- E_tot (eV per cell) = -33.20
- space-group type = No. 63
- density (Mg/m³) = 5.83
- density of states at the Fermi level (states/eV/cell) = 4.08

=====

Here is a relaxed ScTc3 crystal from Alexandria. Energies are from PBE-GGA.

POSCAR file:
```
ScTc3
1.0
3.1586 -4.4547 0.0000
3.1586 4.4547 0.0000
0.0000 0.0000 4.4278
Sc Tc
2 6
Direct
0.6240 0.3760 0.2500 Sc
0.3760 0.6240 0.7500 Sc
0.3689 0.1151 0.7500 Tc
0.8736 0.1264 0.7500 Tc
0.1151 0.3689 0.2500 Tc
0.8849 0.6311 0.7500 Tc
0.1264 0.8736 0.2500 Tc
0.6311 0.8849 0.2500 Tc
```

- polymorph energy (0 for the lowest one) (meV/atom) = 39.8
- space-group type = No. 63
- density (Mg/m³) = 9.03
- density of states at the Fermi level (states/eV/cell) = 6.39

=====

Here is a relaxed ScTc crystal from Alexandria. Energies are from PBE-GGA.

POSCAR file:
```
ScTc
1.0
-3.3847 -5.0693 5.1933
6.3927 0.6300 4.7814
-2.0339 3.6511 2.2383
Sc Tc
8 8
Direct
0.2163 0.5000 0.0000 Sc
0.7837 0.5000 0.0000 Sc
0.5000 0.7837 0.0000 Sc
0.5000 0.2163 0.0000 Sc
0.7163 0.0000 0.5000 Sc
0.2837 0.0000 0.5000 Sc
0.0000 0.2837 0.5000 Sc
0.0000 0.7163 0.5000 Sc
0.8456 0.8456 0.0000 Tc
0.8456 0.1544 0.0000 Tc
0.1544 0.8456 0.0000 Tc
0.1544 0.1544 0.0000 Tc
0.3456 0.3456 0.5000 Tc
0.3456 0.6544 0.5000 Tc
0.6544 0.3456 0.5000 Tc
0.6544 0.6544 0.5000 Tc
```

- E_tot (eV per cell) = -134.98
- space-group type = No. 139
- density (Mg/m³) = 6.25
- density of states at the Fermi level (states/eV/cell) = 14.52

=====

Here is a relaxed Sc5Tc crystal from Alexandria. Energies are from PBE-GGA.

POSCAR file:
```
Sc5Tc
1.0
-5.4855 0.3813 -1.4873
-3.6339 2.9465 3.2497
-2.1094 4.9543 -1.8584
Sc Tc
5 1
Direct
0.6262 0.6262 0.1213 Sc
0.2500 0.2500 0.2500 Sc
0.6262 0.6262 0.6262 Sc
0.1213 0.6262 0.6262 Sc
0.6262 0.1213 0.6262 Sc
0.0000 0.0000 0.0000 Tc
```

- polymorph energy (0 for the lowest one) (meV/atom) = 584.4
- space-group type = No. 216
- density (Mg/m³) = 4.10
- density of states at the Fermi level (states/eV/cell) = 8.80